(1)
Compound: Tb3Sm2ErSe6
Source: Alexandria
Functional: PBE
Structure: relaxed

Cell: 4.096 8.264 9.183 Å, 102.87 102.89 90.00°
Atoms (fractional coordinates):
Se 0.337 0.923 0.673
Se 0.664 0.587 0.328
Se 0.002 0.756 0.005
Se 0.998 0.244 0.995
Se 0.336 0.413 0.672
Se 0.663 0.077 0.327
Tb 0.500 0.500 0.000
Tb 0.830 0.167 0.660
Tb 0.170 0.833 0.340
Er 0.500 0.000 0.000
Sm 0.169 0.336 0.337
Sm 0.831 0.664 0.663

## Properties
crystal system = monoclinic
E_form (uncorrected) = -1.774 eV/atom

(2)
Compound: NdZnInIr
Source: Alexandria
Functional: PBE
Structure: relaxed

Cell: 4.880 4.880 4.880 Å, 60.00 60.00 60.00°
Atoms (fractional coordinates):
In 0.000 0.000 0.000
Nd 0.500 0.500 0.500
Zn 0.250 0.250 0.250
Ir 0.750 0.750 0.750

## Properties
crystal system = cubic

(3)
Compound: Ta2NbCo2
Source: Alexandria
Functional: PBE
Structure: relaxed

Cell: 7.102 7.102 3.012 Å, 90.00 90.00 90.00°
Atoms (fractional coordinates):
Ta 0.331 0.169 0.500
Ta 0.831 0.331 0.500
Ta 0.669 0.831 0.500
Ta 0.169 0.669 0.500
Co 0.873 0.627 0.000
Co 0.627 0.127 0.000
Co 0.373 0.873 0.000
Co 0.127 0.373 0.000
Nb 0.000 0.000 0.000
Nb 0.500 0.500 0.000

## Properties
energy above the lowest structure with this stoichiometry = 0.000 eV per atom
crystal system = tetragonal

(4)
Compound: Ac3Ti2N6
Source: Alexandria
Functional: PBE
Structure: relaxed

Cell: 4.044 4.044 11.005 Å, 100.59 100.59 90.00°
Atoms (fractional coordinates):
Ac 0.181 0.181 0.362
Ac 0.819 0.819 0.638
Ac 0.000 0.000 0.000
N 0.585 0.085 0.170
N 0.307 0.307 0.613
N 0.693 0.693 0.387
N 0.915 0.415 0.830
N 0.415 0.915 0.830
N 0.085 0.585 0.170
Ti 0.604 0.604 0.207
Ti 0.396 0.396 0.793

## Properties
crystal system = tetragonal
E_form (uncorrected) = -1.319 eV/atom

no.,total magnetization (μB/cell),N(E_F) (states/eV/atom),final energy (eV per atom)
1,0.000,0.4745,-5.8410
2,0.000,0.7141,-4.7229
3,0.000,1.0872,-9.6966
4,0.000,0.3635,-8.4164